# 1
This record from the Alexandria database describes CaCoF after structural relaxation. The functional is PBE with a Hubbard U.

Computed properties:
VASP energy, eV per cell: -52.7
Energy above the lowest structure with this stoichiometry, kcal/mol of atoms: 4.96
DOS(E_F), states/eV/f.u.: 0.26

a b c (Å): 7.6453 4.1124 7.3058
angles (deg): 90.00 90.00 90.00
Space group Pnma (No. 62)
Inequivalent atoms, fractional coordinates:
1 Ca 0.1439 0.2500 0.1475
2 Co 0.0479 0.2500 0.5592
3 F 0.1245 0.7500 0.0031



# 2
This record from the Alexandria database describes CaCoF3 after structural relaxation. The functional is PBE with a Hubbard U.

Computed properties:
VASP energy, eV per cell: -24.2
Energy above the lowest structure with this stoichiometry, kcal/mol of atoms: 0.00
DOS(E_F), states/eV/f.u.: 3.60

a b c (Å): 4.1161 4.1161 4.1161
angles (deg): 90.00 90.00 90.00
Space group Pm-3m (No. 221)
Inequivalent atoms, fractional coordinates:
1 Ca 0.0000 0.0000 0.0000
2 Co 0.5000 0.5000 0.5000
3 F 0.0000 0.5000 0.5000



# 3
This record from the Alexandria database describes Ca2CoF after structural relaxation. The functional is PBE with a Hubbard U.

Computed properties:
VASP energy, eV per cell: -49.9
Energy above the lowest structure with this stoichiometry, kcal/mol of atoms: 15.33
DOS(E_F), states/eV/f.u.: 8.19

a b c (Å): 6.6642 6.6642 6.6642
angles (deg): 90.00 90.00 90.00
Space group Fm-3m (No. 225)
Inequivalent atoms, fractional coordinates:
1 Ca 0.2500 0.2500 0.2500
2 Co 0.0000 0.0000 0.0000
3 F 0.0000 0.0000 0.5000



# 4
This record from the Alexandria database describes CaCoF after structural relaxation. The functional is PBE with a Hubbard U.

Computed properties:
VASP energy, eV per cell: -55.3
Energy above the lowest structure with this stoichiometry, kcal/mol of atoms: 0.00
DOS(E_F), states/eV/f.u.: 0.79

a b c (Å): 3.3380 3.3380 16.5577
angles (deg): 90.00 90.00 90.00
Space group I4/mmm (No. 139)
Inequivalent atoms, fractional coordinates:
1 Ca 0.0000 0.0000 0.1503
2 Co 0.0000 0.5000 0.0000
3 F 0.0000 0.0000 0.2989